Entry 1:
Here is Sc2SbTe after structural relaxation from the Alexandria database. Energies are from PBE.

Values from the calculation:
**Offset from the most stable computed form**: 761 meV per atom
**ρ**: 5.1 g cm⁻³
**E_form (uncorrected)**: -296.3 meV/atom
**M_tot**: 1.33 Bohr magnetons per cell

Lattice parameters (Å, degrees): 11.1970 11.1970 11.1970 17.54 17.54 17.54
With the nearest neighbours (Å) after each atom.
Fractional positions:
Sb 0.7353 0.7353 0.7353  3 Sc 3.08, 6 Sb 3.41
Sc 0.9969 0.9969 0.9969  3 Sb 3.08, 9 Sc 3.29-3.41
Sc 0.2508 0.2508 0.2508  3 Te 2.97, 3 Sc 3.29
Te 0.5170 0.5170 0.5170  3 Sc 2.97

Entry 2:
Here is InAsBr2 after structural relaxation from the Alexandria database. Energies are from PBE.

Values from the calculation:
**Offset from the most stable computed form**: 0 meV per atom
**ρ**: 4.2 g cm⁻³
**E_form (uncorrected)**: -322.8 meV/atom
**M_tot**: 0.00 Bohr magnetons per cell

Lattice parameters (Å, degrees): 4.5047 6.3625 6.5985 46.46 90.00 90.00
With the nearest neighbours (Å) after each atom.
Fractional positions:
As 0.5000 0.7069 0.6941  1 Br 2.45, 2 In 2.69
Br 0.0000 0.9669 0.9681  2 In 2.84-2.90
Br 0.5000 0.2305 0.2792  1 As 2.45
In 0.0000 0.5957 0.5586  2 As 2.69, 2 Br 2.84-2.90